1.
Computed, not measured: crystalline MnH2Cl at its relaxed geometry at the PBE level of DFT.

```
MnH2Cl
1.0
0.000 2.794 2.794
2.794 0.000 2.794
2.794 2.794 0.000
Mn H Cl
1 2 1
Cartesian
0.000 0.000 0.000
1.397 1.397 1.397
4.190 4.190 4.190
2.794 2.794 2.794
```

Density of states at the Fermi level: 1.55 states/eV/cell
Uncorrected energy: -14.64 eV for the cell shown
SG: Fm-3m

2.
Computed, not measured: crystalline MnH2Cl8 at its relaxed geometry at the PBE level of DFT.

```
MnH2Cl8
1.0
8.598 -2.408 0.000
8.598 2.408 0.000
-1.369 0.000 6.707
Mn H Cl
1 2 8
Cartesian
0.000 0.000 0.000
5.379 0.000 0.932
10.449 0.000 5.775
0.644 0.000 2.176
0.822 0.000 6.138
3.167 0.000 4.508
6.634 0.000 4.737
9.193 0.000 1.970
12.660 0.000 2.199
15.006 0.000 0.569
15.184 0.000 4.531
```

Density of states at the Fermi level: 5.80 states/eV/cell
Uncorrected energy: -26.78 eV for the cell shown
SG: C2/m

3.
Computed, not measured: crystalline MnHCl3 at its relaxed geometry at the PBE level of DFT.

```
MnHCl3
1.0
3.716 0.000 0.000
0.687 8.885 0.000
0.013 4.353 8.013
Mn H Cl
2 2 6
Cartesian
0.928 2.822 2.514
3.488 10.415 5.499
1.237 7.246 7.298
3.179 5.992 0.715
0.899 6.179 8.008
0.937 3.249 5.024
1.629 8.848 6.014
2.787 4.389 1.999
3.479 9.988 2.990
3.518 7.058 0.006
```

Density of states at the Fermi level: 0.00 states/eV/cell
Uncorrected energy: -44.55 eV for the cell shown
SG: P-1

4.
Computed, not measured: crystalline MnHCl at its relaxed geometry at the PBE level of DFT.

```
MnHCl
1.0
1.486 -5.876 0.000
1.486 5.876 0.000
0.000 0.000 5.263
Mn H Cl
2 2 2
Cartesian
0.000 0.000 0.000
0.000 0.000 2.631
1.486 0.676 3.947
1.486 -0.676 1.316
1.486 1.830 1.316
1.486 -1.830 3.947
```

Density of states at the Fermi level: 3.43 states/eV/cell
Uncorrected energy: -28.61 eV for the cell shown
SG: Cmcm

5.
Computed, not measured: crystalline MnH4NCl3 at its relaxed geometry at the PBE level of DFT.

```
MnH4NCl3
1.0
6.391 0.000 0.000
0.006 7.305 0.000
0.041 0.026 12.739
Mn H N Cl
4 16 4 12
Cartesian
0.000 0.000 0.000
0.032 3.672 6.369
3.201 7.304 0.000
3.228 3.672 6.369
0.061 3.660 2.149
1.343 3.126 11.420
1.342 4.659 10.656
1.346 3.229 9.710
1.893 6.875 3.347
1.910 6.773 5.057
1.912 1.000 4.290
3.177 0.035 8.512
3.265 7.303 4.213
4.535 6.341 8.445
4.541 0.466 9.390
4.537 0.569 7.680
5.092 2.674 2.090
5.097 4.105 3.035
5.093 4.206 1.325
6.376 3.668 10.590
1.015 3.671 10.594
2.230 0.010 4.228
4.207 0.026 8.506
5.422 3.661 2.150
1.589 5.884 1.387
1.591 1.913 0.535
1.611 3.189 4.436
1.635 5.581 6.912
1.643 2.242 7.749
1.663 6.843 10.808
4.772 0.490 1.932
4.812 5.103 4.990
4.820 1.763 5.825
4.845 5.419 12.207
4.847 1.448 11.353
4.844 4.154 8.303
```

Uncorrected energy: -174.49 eV for the cell shown
SG: P1

6.
Computed, not measured: crystalline MnH4NCl3 at its relaxed geometry at the PBE level of DFT.

```
MnH4NCl3
1.0
9.223 0.000 0.000
0.000 3.883 0.000
0.000 0.000 15.020
Mn H N Cl
4 16 4 12
Cartesian
1.465 0.971 0.798
3.147 2.912 8.307
6.076 0.971 6.712
7.759 2.912 14.222
0.424 0.971 10.416
0.725 2.912 5.837
1.056 2.094 4.378
1.056 3.731 4.378
3.555 0.153 11.888
3.555 1.789 11.888
3.887 0.971 13.347
4.188 2.912 2.906
5.036 0.971 12.114
5.336 2.912 1.672
5.668 2.094 3.132
5.668 3.731 3.132
8.167 0.153 10.641
8.167 1.789 10.641
8.499 0.971 9.182
8.799 2.912 4.604
0.586 2.912 4.817
4.025 0.971 12.327
5.198 2.912 2.693
8.637 0.971 10.203
0.206 0.971 13.591
1.677 0.971 7.521
2.200 2.912 10.583
2.412 0.971 3.073
2.934 2.912 0.011
4.406 2.912 6.081
4.818 0.971 8.938
6.289 0.971 15.009
6.811 2.912 11.946
7.024 0.971 4.436
7.546 2.912 7.499
9.017 2.912 1.429
```

Density of states at the Fermi level: 0.00 states/eV/cell
Uncorrected energy: -174.01 eV for the cell shown
SG: Pnma

7.
Computed, not measured: crystalline MnH4NCl3 at its relaxed geometry at the PBE level of DFT.

```
MnH4NCl3
1.0
4.992 0.000 0.000
0.000 5.119 0.000
0.000 0.000 5.121
Mn H N Cl
1 4 1 3
Cartesian
0.000 0.000 0.000
1.896 1.716 2.566
1.896 3.403 2.566
3.099 2.559 1.722
3.099 2.559 3.410
2.498 2.559 2.566
0.179 0.000 2.564
2.498 0.000 0.004
4.820 2.559 0.005
```

Uncorrected energy: -43.43 eV for the cell shown
SG: Pm